P.
Below is Y8Ho4Tm3 after structural relaxation, with properties calculated at the PBE level.

```
15
Lattice="-0.981 4.286 5.337 -0.589 -2.534 6.407 11.057 1.472 5.330" Properties=species:S:1:pos:R:3 pbc="T T T"
Y 2.557 0.820 4.291
Y 2.088 -0.469 7.470
Y 1.596 1.684 10.150
Y 1.891 2.957 6.933
Y 6.930 2.404 12.783
Y 7.399 3.693 9.604
Y 7.892 1.540 6.924
Y 7.596 0.267 10.141
Ho 0.000 0.000 0.000
Ho 10.444 2.049 9.234
Ho 4.744 1.612 8.537
Ho -0.957 1.175 7.840
Tm 5.038 2.879 5.334
Tm 5.528 0.736 2.665
Tm 5.234 -0.531 5.868
```

Calculated values
N(E_F) in states/eV/f.u.: 24.59

***

Q.
Below is Y8Ho4Tm3 after structural relaxation, with properties calculated at the PBE level.

```
15
Lattice="6.713 -0.083 -0.120 -3.241 8.586 1.139 -3.241 -1.912 8.447" Properties=species:S:1:pos:R:3 pbc="T T T"
Y 1.771 1.726 2.480
Y -3.241 4.836 3.749
Y -1.721 1.790 2.572
Y 0.115 5.912 2.912
Y 0.115 0.679 6.555
Y 1.952 4.800 6.895
Y -3.241 1.837 5.837
Y -1.541 4.864 6.987
Ho 3.356 -0.042 -0.060
Ho -1.620 4.293 0.570
Ho 0.000 0.000 0.000
Ho -1.620 -0.956 4.224
Tm 1.736 4.251 0.510
Tm 1.736 -0.998 4.164
Tm 0.115 3.295 4.733
```

Calculated values
N(E_F) in states/eV/f.u.: 30.56

***

Quick one: most stable of them? P

***

P.
Below is Y12Ho2Tm5 after structural relaxation, with properties calculated at the PBE level.

```
19
Lattice="-1.565 2.032 8.870 1.470 -8.573 -2.582 8.351 1.197 1.199" Properties=species:S:1:pos:R:3 pbc="T T T"
Y 0.769 -5.046 6.098
Y 7.319 -4.959 -0.634
Y 6.322 -3.664 5.016
Y 3.645 -5.626 0.073
Y 3.039 -4.839 3.505
Y 6.178 -5.877 2.437
Y 2.078 0.534 5.050
Y 4.612 0.283 7.414
Y 5.217 -0.504 3.982
Y 0.937 -0.384 8.120
Y 1.934 -1.679 2.470
Y 7.487 -0.297 1.389
Ho -1.058 1.374 5.996
Ho -0.507 0.658 2.874
Tm 5.113 -2.816 1.547
Tm 8.666 -3.383 2.304
Tm 4.176 0.599 0.599
Tm -0.410 -1.960 5.183
Tm 3.143 -2.527 5.939
```

Calculated values
N(E_F) in states/eV/f.u.: 30.60

***

Q.
Below is Y12Ho2Tm5 after structural relaxation, with properties calculated at the PBE level.

```
19
Lattice="-5.814 -2.800 -0.647 1.378 -7.050 5.142 -3.313 9.932 5.698" Properties=species:S:1:pos:R:3 pbc="T T T"
Y -6.225 -0.765 1.494
Y -2.206 4.118 8.192
Y -3.150 -6.072 3.605
Y -2.050 0.023 5.313
Y -4.327 -3.289 5.131
Y -3.885 -1.714 8.082
Y -3.864 1.796 2.110
Y -5.699 0.059 4.879
Y -3.423 3.370 5.061
Y -5.544 -4.037 2.001
Y -4.600 6.154 6.587
Y -1.525 0.846 8.699
Ho -7.430 7.364 5.073
Ho -0.320 -7.282 5.119
Tm -4.517 1.671 7.598
Tm -0.827 -3.562 4.670
Tm -1.657 4.966 2.849
Tm -6.922 3.644 5.522
Tm -3.233 -1.590 2.595
```

Calculated values
N(E_F) in states/eV/f.u.: 29.81

***

Quick one: most stable of them? Q

***

P.
Below is Y2Ho7Tm after structural relaxation, with properties calculated at the PBE level.

```
10
Lattice="-0.290 1.519 3.093 -13.648 -5.630 1.487 14.775 0.032 1.368" Properties=species:S:1:pos:R:3 pbc="T T T"
Y -7.855 -3.688 3.008
Y 8.692 -0.392 2.939
Ho -4.747 -3.857 1.449
Ho 5.874 -1.741 1.405
Ho 2.929 -0.039 2.226
Ho -2.092 -4.041 3.721
Ho -2.673 -1.154 2.249
Ho 3.510 -2.925 3.698
Ho 0.419 -2.040 2.973
Tm 0.000 0.000 0.000
```

Calculated values
N(E_F) in states/eV/f.u.: 17.34

***

Q.
Below is Y2Ho7Tm after structural relaxation, with properties calculated at the PBE level.

```
10
Lattice="4.989 0.000 0.000 0.000 9.821 -1.038 0.000 -5.357 8.296" Properties=species:S:1:pos:R:3 pbc="T T T"
Y 2.495 5.311 1.736
Y 2.495 -0.847 5.523
Ho 0.000 6.947 0.729
Ho 0.000 -2.483 6.529
Ho 2.495 -0.750 2.274
Ho 2.495 5.214 4.984
Ho 2.495 2.368 0.356
Ho 2.495 2.096 6.902
Ho 2.495 2.232 3.629
Tm 0.000 0.000 0.000
```

Calculated values
N(E_F) in states/eV/f.u.: 11.88

***

Quick one: most stable of them? P

***

P.
Below is Y3HoTm5 after structural relaxation, with properties calculated at the PBE level.

```
18
Lattice="9.274 -0.012 1.591 2.527 8.923 1.591 5.454 4.118 9.209" Properties=species:S:1:pos:R:3 pbc="T T T"
Y 12.681 9.575 9.708
Y 9.754 7.365 5.474
Y 0.000 0.000 0.000
Y 2.727 2.059 4.605
Y 4.574 3.454 2.683
Y 7.502 5.664 6.918
Ho 5.002 3.777 6.026
Ho 12.253 9.252 6.365
Tm 10.084 4.097 4.153
Tm 4.287 6.592 1.591
Tm 14.861 11.221 11.497
Tm 7.018 5.299 3.667
Tm 10.237 7.730 8.724
Tm 2.394 1.808 0.894
Tm 6.701 8.577 4.153
Tm 7.514 2.319 1.591
Tm 7.171 8.932 8.238
Tm 10.554 4.452 8.238
```

Calculated values
N(E_F) in states/eV/f.u.: 11.96

***

Q.
Below is Y3HoTm5 after structural relaxation, with properties calculated at the PBE level.

```
18
Lattice="3.144 9.003 0.382 -3.144 9.003 0.382 0.000 3.978 10.640" Properties=species:S:1:pos:R:3 pbc="T T T"
Y 0.000 0.000 0.000
Y -2.039 7.387 4.172
Y 0.000 1.989 5.320
Y 2.039 14.597 7.233
Y 2.039 9.376 9.493
Y -2.039 12.608 1.913
Ho -2.319 11.986 8.363
Ho 2.319 9.997 3.043
Tm 0.677 11.986 8.363
Tm 1.189 15.826 11.044
Tm 1.254 6.825 2.520
Tm -1.189 6.158 0.361
Tm 1.254 13.169 3.565
Tm -0.677 9.997 3.043
Tm -1.189 13.837 5.724
Tm 1.189 8.147 5.682
Tm -1.254 8.814 7.841
Tm -1.254 15.158 8.885
```

Calculated values
N(E_F) in states/eV/f.u.: 12.97

***

Quick one: most stable of them? Q

***

P.
Below is Y4Ho5Tm after structural relaxation, with properties calculated at the PBE level.

```
10
Lattice="5.860 0.000 0.000 2.930 7.469 0.000 2.930 0.000 7.469" Properties=species:S:1:pos:R:3 pbc="T T T"
Y 5.568 2.396 5.072
Y 8.498 5.072 5.073
Y 2.638 2.397 2.396
Y 5.568 5.073 2.397
Ho 5.576 2.811 0.001
Ho 2.647 0.001 4.658
Ho 8.506 7.467 2.811
Ho 5.576 4.658 7.467
Ho 4.029 0.000 0.000
Tm 1.259 0.000 0.000
```

Calculated values
N(E_F) in states/eV/f.u.: 13.62

***

Q.
Below is Y4Ho5Tm after structural relaxation, with properties calculated at the PBE level.

```
10
Lattice="-1.436 2.540 2.020 -4.590 -4.968 -0.205 8.584 -7.234 8.891" Properties=species:S:1:pos:R:3 pbc="T T T"
Y -2.509 -4.749 2.416
Y 2.433 -7.057 8.834
Y 5.067 -4.913 8.289
Y 0.125 -2.605 1.871
Ho -0.697 -3.328 5.187
Ho 2.672 -3.065 4.131
Ho -0.114 -6.598 6.575
Ho -3.013 -1.214 0.907
Ho 3.255 -6.335 5.519
Tm -0.718 1.270 1.010
```

Calculated values
N(E_F) in states/eV/f.u.: 18.63

***

Quick one: most stable of them? Q

***

P.
Below is Y5HoTm2 after structural relaxation, with properties calculated at the PBE level.

```
16
Lattice="-3.432 -0.893 -3.529 3.204 -6.129 -1.565 -8.088 -6.667 9.552" Properties=species:S:1:pos:R:3 pbc="T T T"
Y 0.000 0.000 0.000
Y -2.442 -6.398 3.994
Y -4.471 -8.066 6.389
Y -0.413 -4.730 1.598
Y -2.026 -1.675 2.394
Y -2.858 -11.122 5.594
Y -7.994 -7.816 6.205
Y -0.322 -5.874 -1.747
Y -3.951 -4.480 1.429
Y -4.365 -9.210 3.029
Ho -4.044 -3.334 4.776
Ho 1.602 -3.065 -0.782
Tm -5.969 -6.137 3.811
Tm -2.346 -7.553 0.647
Tm -1.919 -2.815 -0.968
Tm -6.397 -10.875 5.426
```

Calculated values
N(E_F) in states/eV/f.u.: 10.73

***

Q.
Below is Y5HoTm2 after structural relaxation, with properties calculated at the PBE level.

```
16
Lattice="-4.829 7.310 -0.057 -7.808 2.706 -1.700 -2.968 -1.878 10.646" Properties=species:S:1:pos:R:3 pbc="T T T"
Y -6.286 3.237 9.721
Y -5.256 3.889 6.026
Y -7.505 2.510 3.324
Y -6.488 3.154 -0.324
Y -6.887 5.998 2.089
Y -8.719 2.140 6.800
Y -8.101 5.628 5.565
Y -9.118 4.984 9.213
Y -9.319 4.901 -0.832
Y -10.349 4.249 2.863
Ho -11.275 4.541 6.511
Ho -4.330 3.597 2.378
Tm -9.924 7.356 3.044
Tm -9.138 7.853 0.226
Tm -5.681 0.782 5.845
Tm -6.467 0.285 8.663
```

Calculated values
N(E_F) in states/eV/f.u.: 13.00

***

Quick one: most stable of them? P